Computed, not measured: an optimized crystal structure of CaW3F at the PBE+U level of DFT.

Results
Offset from the most stable computed form   0.00 eV per formula unit
Total magnetic moment   0.00 μB per formula unit
DOS at the Fermi energy   2.84 states/eV/cell

Unit cell a=4.4675 b=4.4675 c=4.4675 alpha=90.00 beta=90.00 gamma=90.00
Closest atoms and distances in Å follow each position.
Element x y z (fractional)
W 0.0000 0.5000 0.0000  2 F 2.23
F 0.0000 0.0000 0.0000  6 W 2.23
W 0.5000 0.0000 0.0000  2 F 2.23
W 0.0000 0.0000 0.5000  2 F 2.23
Ca 0.5000 0.5000 0.5000  12 W 3.16